(1)
# Ce7O12

Crystalline Ce7O12 at its relaxed geometry (PBE, the Alexandria database).

Summary:
magnetic moment: 4.11 μB per formula unit
E_form (uncorrected): -3.47 eV per atom

Unit cell a=10.3670 b=10.3670 c=9.5996 alpha=90.00 beta=90.00 gamma=120.00
Space group R-3 (No. 148, hexagonal axes)
Symmetry-distinct sites (fractional):
Ce (0.0000, 0.0000, 0.0000)
Ce (0.0464, 0.2547, 0.6535)
O (0.0351, 0.2199, 0.3975)
O (0.0366, 0.2146, 0.8935)

***

(2)
# ScTaHg2

Crystalline ScTaHg2 at its relaxed geometry (PBE, the Alexandria database).

Summary:
magnetic moment: 0.00 μB per formula unit
polymorph energy (0 for the lowest one): 24 meV/atom
formation enthalpy at 0 K: 0.069 eV/atom

Unit cell a=3.1532 b=4.1707 c=6.1177 alpha=90.00 beta=90.08 gamma=90.00
Space group P2/m (No. 10)
Symmetry-distinct sites (fractional):
Sc (0.0000, 0.0000, 0.0000)
Ta (0.0000, 0.0000, 0.5000)
Hg (0.5000, 0.5000, 0.2541)

***

(3)
# AcNpMn2S8

Crystalline AcNpMn2S8 at its relaxed geometry (PBE, the Alexandria database).

Summary:
magnetic moment: 8.00 μB per formula unit
E_form (uncorrected): -0.81 eV per atom

Unit cell a=6.2412 b=6.2412 c=13.9919 alpha=90.00 beta=90.00 gamma=90.00
Space group I-4 (No. 82)
Symmetry-distinct sites (fractional):
Ac (0.0000, 0.0000, 0.0000)
Np (0.0000, 0.5000, 0.2500)
Mn (0.0000, 0.0000, 0.5000)
Mn (0.0000, 0.5000, 0.7500)
S (0.1226, 0.2600, 0.4151)
S (0.1534, 0.7885, 0.8142)

***

(4)
# Tl4HgBi5

Crystalline Tl4HgBi5 at its relaxed geometry (PBE, the Alexandria database).

Summary:
magnetic moment: 0.00 μB per formula unit
formation enthalpy at 0 K: 0.038 eV/atom

Unit cell a=3.4280 b=3.4280 c=26.5395 alpha=90.00 beta=90.00 gamma=90.00
Space group P4/mmm (No. 123)
Symmetry-distinct sites (fractional):
Tl (0.0000, 0.0000, 0.1025)
Tl (0.0000, 0.0000, 0.3062)
Hg (0.0000, 0.0000, 0.5000)
Bi (0.5000, 0.5000, 0.0000)
Bi (0.5000, 0.5000, 0.2031)
Bi (0.5000, 0.5000, 0.4066)

***

(5)
# K3TiO3

Crystalline K3TiO3 at its relaxed geometry (PBE, the Alexandria database).

Summary:
magnetic moment: 0.97 μB per formula unit
polymorph energy (0 for the lowest one): 100 meV/atom
E_form (uncorrected): -1.88 eV per atom

Unit cell a=8.1639 b=14.1163 c=5.6383 alpha=90.00 beta=90.00 gamma=90.00
Space group Cmcm (No. 63)
Symmetry-distinct sites (fractional):
K (0.0000, 0.1722, 0.2500)
K (0.2407, 0.4138, 0.2500)
Ti (0.0000, 0.3331, 0.7500)
O (0.0000, 0.2042, 0.7500)
O (0.1929, 0.3977, 0.7500)

***

(6)
# PrZnRh

Crystalline PrZnRh at its relaxed geometry (PBE, the Alexandria database).

Summary:
magnetic moment: 0.00 μB per formula unit
formation enthalpy at 0 K: -0.419 eV/atom

Unit cell a=6.5704 b=6.5704 c=6.5704 alpha=90.00 beta=90.00 gamma=90.00
Space group F-43m (No. 216)
Symmetry-distinct sites (fractional):
Pr (0.0000, 0.0000, 0.0000)
Zn (0.0000, 0.0000, 0.5000)
Rh (0.2500, 0.2500, 0.7500)

***

(7)
# CaYMg

Crystalline CaYMg at its relaxed geometry (PBE, the Alexandria database).

Summary:
magnetic moment: 0.00 μB per formula unit
polymorph energy (0 for the lowest one): 357 meV/atom
formation enthalpy at 0 K: 0.308 eV/atom

Unit cell a=5.3931 b=5.3931 c=26.5829 alpha=90.00 beta=90.00 gamma=120.00
Space group R-3m (No. 166, hexagonal axes)
Symmetry-distinct sites (fractional):
Ca (0.0000, 0.0000, 0.1201)
Y (0.0000, 0.0000, 0.3688)
Mg (0.0000, 0.0000, 0.2514)

***

(8)
# AlSiOs

Crystalline AlSiOs at its relaxed geometry (PBE, the Alexandria database).

Summary:
magnetic moment: 0.00 μB per formula unit
E_form (uncorrected): -0.19 eV per atom

Unit cell a=2.9101 b=2.9101 c=5.9484 alpha=90.00 beta=90.00 gamma=120.00
Space group P3m1 (No. 156)
Symmetry-distinct sites (fractional):
Al (0.0000, 0.0000, 0.0000)
Si (0.3333, 0.6667, 0.6362)
Os (0.6667, 0.3333, 0.3369)

***

DFT total energy: -8.79 -4.63 -6.51 -2.88 -5.61 -4.89 -3.05 -6.99 (eV/atom)
N(E_F): 86.14 2.92 18.56 7.48 4.58 4.03 25.71 1.34 (states/eV/cell)